Entry from Alexandria via LeMat-Bulk: an optimized crystal structure of Be2HgAu (PBE-GGA).

Unit cell a=3.715 b=3.715 c=8.345 alpha=90.00 beta=90.00 gamma=90.00
Sites, in units of the cell vectors:
1 Be 0.000 0.000 0.000
2 Be 0.000 0.500 0.250
3 Be 0.500 0.000 0.750
4 Be 0.500 0.500 0.500
5 Hg 0.000 0.500 0.750
6 Hg 0.500 0.000 0.250
7 Au 0.000 0.000 0.500
8 Au 0.500 0.500 0.000

Output
The calculation puts the energy relative to the elements at 0.320 eV/atom.

---

Entry from Alexandria via LeMat-Bulk: an optimized crystal structure of BeHg3Au (PBE-GGA).

Unit cell a=5.460 b=5.460 c=5.460 alpha=90.00 beta=90.00 gamma=90.00
Sites, in units of the cell vectors:
1 Be 0.000 0.000 0.000
2 Hg 0.000 0.500 0.500
3 Hg 0.500 0.000 0.500
4 Hg 0.500 0.500 0.000
5 Au 0.500 0.500 0.500

Output
The distance to the lowest polymorph of the same formula comes out at 338 meV per atom. The calculation puts the energy relative to the elements at 0.683 eV/atom.

---

Entry from Alexandria via LeMat-Bulk: an optimized crystal structure of BeHg2Au2 (PBE-GGA).

Unit cell a=6.371 b=6.371 c=4.755 alpha=90.00 beta=90.00 gamma=90.00
Sites, in units of the cell vectors:
1 Be 0.000 0.000 0.000
2 Be 0.500 0.500 0.000
3 Hg 0.165 0.335 0.500
4 Hg 0.335 0.835 0.500
5 Hg 0.665 0.165 0.500
6 Hg 0.835 0.665 0.500
7 Au 0.164 0.664 0.000
8 Au 0.336 0.164 0.000
9 Au 0.664 0.836 0.000
10 Au 0.836 0.336 0.000

Output
The distance to the lowest polymorph of the same formula comes out at 0 meV per atom. The calculation puts the energy relative to the elements at 0.168 eV/atom.

---

Entry from Alexandria via LeMat-Bulk: an optimized crystal structure of Be2HgAu (PBE-GGA).

Unit cell a=6.359 b=6.359 c=6.537 alpha=90.00 beta=90.00 gamma=90.00
Sites, in units of the cell vectors:
1 Be 0.229 0.250 0.125
2 Be 0.250 0.729 0.375
3 Be 0.250 0.771 0.875
4 Be 0.271 0.250 0.625
5 Be 0.729 0.750 0.625
6 Be 0.750 0.229 0.875
7 Be 0.750 0.271 0.375
8 Be 0.771 0.750 0.125
9 Hg 0.000 0.000 0.500
10 Hg 0.000 0.500 0.750
11 Hg 0.500 0.000 0.250
12 Hg 0.500 0.500 0.000
13 Au 0.000 0.000 0.000
14 Au 0.000 0.500 0.250
15 Au 0.500 0.000 0.750
16 Au 0.500 0.500 0.500

Output
The calculation puts the energy relative to the elements at 0.429 eV/atom.

---

Entry from Alexandria via LeMat-Bulk: an optimized crystal structure of BeHg2Au (PBE-GGA).

Unit cell a=3.087 b=3.087 c=9.025 alpha=90.00 beta=90.00 gamma=90.00
Sites, in units of the cell vectors:
1 Be 0.000 0.000 0.000
2 Hg 0.000 0.000 0.728
3 Hg 0.500 0.500 0.431
4 Au 0.500 0.500 0.102

Output
The calculation puts the energy relative to the elements at 0.091 eV/atom.

---

Entry from Alexandria via LeMat-Bulk: an optimized crystal structure of BeHg2Au (PBE-GGA).

Unit cell a=6.663 b=6.663 c=6.663 alpha=90.00 beta=90.00 gamma=90.00
Sites, in units of the cell vectors:
1 Be 0.000 0.000 0.000
2 Be 0.000 0.500 0.500
3 Be 0.500 0.000 0.500
4 Be 0.500 0.500 0.000
5 Hg 0.000 0.000 0.500
6 Hg 0.000 0.500 0.000
7 Hg 0.250 0.250 0.250
8 Hg 0.250 0.750 0.750
9 Hg 0.500 0.000 0.000
10 Hg 0.500 0.500 0.500
11 Hg 0.750 0.250 0.750
12 Hg 0.750 0.750 0.250
13 Au 0.250 0.250 0.750
14 Au 0.250 0.750 0.250
15 Au 0.750 0.250 0.250
16 Au 0.750 0.750 0.750

Output
The calculation puts the energy relative to the elements at 0.443 eV/atom.

---

Entry from Alexandria via LeMat-Bulk: an optimized crystal structure of BeHg4Au (PBE-GGA).

Unit cell a=5.831 b=5.831 c=5.831 alpha=60.00 beta=60.00 gamma=60.00
Sites, in units of the cell vectors:
1 Be 0.000 0.000 0.000
2 Hg 0.125 0.625 0.625
3 Hg 0.625 0.125 0.625
4 Hg 0.625 0.625 0.125
5 Hg 0.625 0.625 0.625
6 Au 0.250 0.250 0.250

Output
The calculation puts the energy relative to the elements at 0.688 eV/atom.

---

Entry from Alexandria via LeMat-Bulk: an optimized crystal structure of BeHg2Au (PBE-GGA).

Unit cell a=5.716 b=7.288 c=3.622 alpha=90.00 beta=90.00 gamma=90.00
Sites, in units of the cell vectors:
1 Be 0.000 0.000 0.000
2 Be 0.500 0.500 0.000
3 Hg 0.250 0.250 0.500
4 Hg 0.250 0.750 0.500
5 Hg 0.750 0.250 0.500
6 Hg 0.750 0.750 0.500
7 Au 0.000 0.500 0.000
8 Au 0.500 0.000 0.000

Output
The calculation puts the energy relative to the elements at 0.399 eV/atom.

---

Entry from Alexandria via LeMat-Bulk: an optimized crystal structure of BeHgIr2Au (PBE-GGA).

Unit cell a=4.987 b=4.987 c=5.017 alpha=90.00 beta=90.00 gamma=90.00
Sites, in units of the cell vectors:
1 Be 0.000 0.000 0.000
2 Hg 0.500 0.500 0.500
3 Ir 0.000 0.500 0.500
4 Ir 0.500 0.000 0.500
5 Au 0.500 0.500 0.000

Output
The calculation puts the energy relative to the elements at 2.288 eV/atom.

---

Entry from Alexandria via LeMat-Bulk: an optimized crystal structure of BeHgIrAu2 (PBE-GGA).

Unit cell a=5.084 b=5.084 c=4.250 alpha=90.00 beta=90.00 gamma=90.00
Sites, in units of the cell vectors:
1 Be 0.000 0.000 0.000
2 Hg 0.000 0.000 0.500
3 Ir 0.500 0.500 0.000
4 Au 0.000 0.500 0.500
5 Au 0.500 0.000 0.500

Output
The calculation puts the energy relative to the elements at 1.554 eV/atom.

---

Entry from Alexandria via LeMat-Bulk: an optimized crystal structure of KBeHgAu2 (PBE-GGA).

Unit cell a=4.759 b=4.759 c=4.990 alpha=90.00 beta=90.00 gamma=90.00
Sites, in units of the cell vectors:
1 K 0.000 0.000 0.000
2 Be 0.500 0.500 0.500
3 Hg 0.500 0.500 0.000
4 Au 0.000 0.500 0.500
5 Au 0.500 0.000 0.500

Output
The calculation puts the energy relative to the elements at -0.101 eV/atom.

---

Entry from Alexandria via LeMat-Bulk: an optimized crystal structure of MnBeHg2Au (PBE-GGA).

Unit cell a=4.668 b=4.668 c=4.530 alpha=90.00 beta=90.00 gamma=90.00
Sites, in units of the cell vectors:
1 Mn 0.000 0.000 0.000
2 Be 0.500 0.500 0.500
3 Hg 0.000 0.500 0.500
4 Hg 0.500 0.000 0.500
5 Au 0.500 0.500 0.000

Output
The calculation puts the energy relative to the elements at 0.441 eV/atom.

---

Entry from Alexandria via LeMat-Bulk: an optimized crystal structure of Na2Be3HgAu12 (PBE-GGA).

Unit cell a=7.554 b=7.554 c=7.554 alpha=68.56 beta=68.56 gamma=68.56
Sites, in units of the cell vectors:
1 Na 0.091 0.091 0.091
2 Na 0.909 0.909 0.909
3 Be 0.000 0.500 0.500
4 Be 0.500 0.000 0.500
5 Be 0.500 0.500 0.000
6 Hg 0.500 0.500 0.500
7 Au 0.100 0.647 0.647
8 Au 0.156 0.156 0.603
9 Au 0.156 0.603 0.156
10 Au 0.353 0.353 0.900
11 Au 0.353 0.900 0.353
12 Au 0.397 0.844 0.844
13 Au 0.603 0.156 0.156
14 Au 0.647 0.100 0.647
15 Au 0.647 0.647 0.100
16 Au 0.844 0.397 0.844
17 Au 0.844 0.844 0.397
18 Au 0.900 0.353 0.353

Output
The calculation puts the energy relative to the elements at 0.019 eV/atom.

---

Entry from Alexandria via LeMat-Bulk: an optimized crystal structure of NaBeHgAu2 (PBE-GGA).

Unit cell a=4.624 b=4.624 c=4.736 alpha=90.00 beta=90.00 gamma=90.00
Sites, in units of the cell vectors:
1 Na 0.000 0.000 0.000
2 Be 0.500 0.500 0.500
3 Hg 0.500 0.500 0.000
4 Au 0.000 0.500 0.500
5 Au 0.500 0.000 0.500

Output
The calculation puts the energy relative to the elements at -0.091 eV/atom.

---

Entry from Alexandria via LeMat-Bulk: an optimized crystal structure of BeHgPbAu2 (PBE-GGA).

Unit cell a=4.680 b=4.680 c=4.786 alpha=90.00 beta=90.00 gamma=90.00
Sites, in units of the cell vectors:
1 Be 0.000 0.000 0.000
2 Hg 0.000 0.000 0.500
3 Pb 0.500 0.500 0.500
4 Au 0.000 0.500 0.000
5 Au 0.500 0.000 0.000

Output
The calculation puts the energy relative to the elements at 0.084 eV/atom.

---

Entry from Alexandria via LeMat-Bulk: an optimized crystal structure of RbBeHg2Au (PBE-GGA).

Unit cell a=5.075 b=5.075 c=4.875 alpha=90.00 beta=90.00 gamma=90.00
Sites, in units of the cell vectors:
1 Rb 0.000 0.000 0.000
2 Be 0.500 0.500 0.500
3 Hg 0.000 0.500 0.500
4 Hg 0.500 0.000 0.500
5 Au 0.500 0.500 0.000

Output
The calculation puts the energy relative to the elements at -0.038 eV/atom.

---

Entry from Alexandria via LeMat-Bulk: an optimized crystal structure of BeHgRu2Au (PBE-GGA).

Unit cell a=5.029 b=5.029 c=5.073 alpha=90.00 beta=90.00 gamma=90.00
Sites, in units of the cell vectors:
1 Be 0.000 0.000 0.000
2 Hg 0.500 0.500 0.500
3 Ru 0.000 0.500 0.500
4 Ru 0.500 0.000 0.500
5 Au 0.500 0.500 0.000

Output
The calculation puts the energy relative to the elements at 2.263 eV/atom.

---

Entry from Alexandria via LeMat-Bulk: an optimized crystal structure of ScBe2HgAu (PBE-GGA).

Unit cell a=4.396 b=4.396 c=5.202 alpha=90.00 beta=90.00 gamma=90.00
Sites, in units of the cell vectors:
1 Sc 0.000 0.000 0.000
2 Be 0.000 0.500 0.500
3 Be 0.500 0.000 0.500
4 Hg 0.500 0.500 0.500
5 Au 0.500 0.500 0.000

Output
The calculation puts the energy relative to the elements at 0.583 eV/atom.

---

Entry from Alexandria via LeMat-Bulk: an optimized crystal structure of BeSiHgAu2 (PBE-GGA).

Unit cell a=4.669 b=4.669 c=4.199 alpha=90.00 beta=90.00 gamma=90.00
Sites, in units of the cell vectors:
1 Be 0.000 0.000 0.000
2 Si 0.000 0.000 0.500
3 Hg 0.500 0.500 0.500
4 Au 0.000 0.500 0.000
5 Au 0.500 0.000 0.000

Output
The uncorrected formation energy comes out at 29.60 kJ per mole of atoms.

---

Entry from Alexandria via LeMat-Bulk: an optimized crystal structure of TiBeHgAu2 (PBE-GGA).

Unit cell a=5.028 b=5.028 c=4.766 alpha=90.00 beta=90.00 gamma=90.00
Sites, in units of the cell vectors:
1 Ti 0.000 0.000 0.000
2 Be 0.000 0.000 0.500
3 Hg 0.500 0.500 0.500
4 Au 0.000 0.500 0.000
5 Au 0.500 0.000 0.000

Output
The calculation puts the energy relative to the elements at 0.892 eV/atom.

---

| no. | magnetic moment (μB/cell) |
| --- | --- |
| 1 | 0.00 |
| 2 | 0.00 |
| 3 | 0.00 |
| 4 | 0.00 |
| 5 | 0.00 |
| 6 | 0.00 |
| 7 | 0.00 |
| 8 | 0.00 |
| 9 | 0.00 |
| 10 | 0.49 |
| 11 | 0.00 |
| 12 | 4.48 |
| 13 | 0.00 |
| 14 | 0.00 |
| 15 | 0.00 |
| 16 | 0.00 |
| 17 | 3.85 |
| 18 | 0.00 |
| 19 | 0.00 |
| 20 | 0.76 |